[1]
## CaNb3Al (PBE)

Data for a relaxed structure of CaNb3Al.

Results
symmetry	Pm-3m (221)
polymorph energy (0 for the lowest one)	0	meV/atom
calculated total energy	-0.2271	Ha/atom
energy of formation	98	kJ per mole of atoms

Lattice parameters (Å, degrees): 4.9006 4.9006 4.9006 90.00 90.00 90.00
With the nearest neighbours (Å) after each atom.
Element x y z (fractional)
Nb  0.0000  0.5000  0.0000  2 Al 2.45
Nb  0.5000  0.0000  0.0000  2 Al 2.45
Nb  0.0000  0.0000  0.5000  2 Al 2.45
Ca  0.5000  0.5000  0.5000  12 Nb 3.47
Al  0.0000  0.0000  0.0000  6 Nb 2.45



[2]
## ScMo2Os (PBE)

Data for a relaxed structure of ScMo2Os.

Results
symmetry	Fm-3m (225)
polymorph energy (0 for the lowest one)	145	meV/atom
calculated total energy	-0.3592	Ha/atom
energy of formation	3	kJ per mole of atoms

Lattice parameters (Å, degrees): 4.4852 4.4852 4.4852 60.00 60.00 60.00
With the nearest neighbours (Å) after each atom.
Element x y z (fractional)
Sc  0.0000  0.0000  0.0000  8 Mo 2.75
Mo  0.7500  0.7500  0.7500  4 Os 2.75, 4 Sc 2.75
Mo  0.2500  0.2500  0.2500  4 Os 2.75, 4 Sc 2.75
Os  0.5000  0.5000  0.5000  8 Mo 2.75



[3]
## Cd2IrSe (PBE)

Data for a relaxed structure of Cd2IrSe.

Results
symmetry	Pmm2 (25)
uncorrected formation energy	0.17	eV/atom
calculated total energy	-0.1240	Ha/atom

Lattice parameters (Å, degrees): 3.0774 3.8132 6.7759 90.00 90.00 90.00
With the nearest neighbours (Å) after each atom.
Element x y z (fractional)
Cd  0.0000  0.0000  0.0002  1 Ir 2.98, 6 Cd 3.02-3.08, 4 Se 3.28
Cd  0.5000  0.5000  0.2607  1 Se 2.83, 6 Cd 3.02-3.08
Ir  0.0000  0.0000  0.5601  4 Se 2.58
Se  0.5000  0.5000  0.6789  4 Ir 2.58, 1 Cd 2.83



[4]
## LiMn3I (PBE)

Data for a relaxed structure of LiMn3I.

Results
symmetry	Pm-3m (221)
uncorrected formation energy	1.00	eV/atom
polymorph energy (0 for the lowest one)	0	meV/atom
calculated total energy	-0.1908	Ha/atom

Lattice parameters (Å, degrees): 4.5621 4.5621 4.5621 90.00 90.00 90.00
With the nearest neighbours (Å) after each atom.
Element x y z (fractional)
Li  0.0000  0.0000  0.0000  6 Mn 2.28
Mn  0.5000  0.0000  0.0000  2 Li 2.28
Mn  0.0000  0.5000  0.0000  2 Li 2.28
Mn  0.0000  0.0000  0.5000  2 Li 2.28
I  0.5000  0.5000  0.5000  12 Mn 3.23



[5]
## CaY2Cl (PBE)

Data for a relaxed structure of CaY2Cl.

Results
symmetry	Fm-3m (225)
uncorrected formation energy	0.08	eV/atom
polymorph energy (0 for the lowest one)	814	meV/atom
calculated total energy	-0.1511	Ha/atom

Lattice parameters (Å, degrees): 5.6353 5.6353 5.6353 60.00 60.00 60.00
With the nearest neighbours (Å) after each atom.
Element x y z (fractional)
Y  0.7500  0.7500  0.7500  4 Ca 3.45, 4 Cl 3.45
Y  0.2500  0.2500  0.2500  4 Ca 3.45, 4 Cl 3.45
Cl  0.0000  0.0000  0.0000  8 Y 3.45
Ca  0.5000  0.5000  0.5000  8 Y 3.45



[6]
## TbDy6Ho6 (PBE)

Data for a relaxed structure of TbDy6Ho6.

Results
symmetry	P2/m (10)
calculated total energy	-0.1603	Ha/atom
energy of formation	22	kJ per mole of atoms

Lattice parameters (Å, degrees): 6.5138 6.5308 10.9836 90.00 90.00 115.59
With the nearest neighbours (Å) after each atom.
Element x y z (fractional)
Ho  0.0000  0.5000  0.7676  6 Dy 3.21-3.45, 4 Ho 3.35-3.48
Ho  0.5000  0.5000  0.3022  4 Ho 3.35-3.40, 6 Dy 3.39-3.68
Ho  0.5000  0.0000  0.7841  6 Dy 3.29-3.56, 4 Ho 3.40-3.48
Ho  0.5000  0.5000  0.6978  4 Ho 3.35-3.40, 6 Dy 3.39-3.68
Ho  0.5000  0.0000  0.2159  6 Dy 3.29-3.56, 4 Ho 3.40-3.48
Ho  0.0000  0.5000  0.2324  6 Dy 3.21-3.45, 4 Ho 3.35-3.48
Tb  0.0000  0.0000  0.0000  8 Dy 3.64-4.00, 4 Ho 4.03
Dy  0.0000  0.0000  0.3349  3 Dy 3.44-3.63, 6 Ho 3.45-3.51, 1 Tb 3.68
Dy  0.3286  0.6136  0.0000  1 Dy 3.17, 4 Ho 3.21-3.29
Dy  0.0000  0.0000  0.6651  3 Dy 3.44-3.63, 6 Ho 3.45-3.51, 1 Tb 3.68
Dy  0.6714  0.3864  0.0000  1 Dy 3.17, 4 Ho 3.21-3.29
Dy  0.7311  0.2598  0.5000  6 Ho 3.39-3.56, 4 Dy 3.43-3.55
Dy  0.2689  0.7402  0.5000  6 Ho 3.39-3.56, 4 Dy 3.43-3.55